An optimized crystal structure of HfTcSb2Te, computed with PBE-GGA.

Lattice parameters (Å, degrees): 5.003 5.003 5.563 90.00 90.00 90.00
Last column: magnetic moment on the atom in μB.
Fractional positions:
Sb 0.000 0.500 0.000  0.00
Sb 0.500 0.000 0.000  0.00
Te 0.000 0.000 0.500  0.00
Hf 0.500 0.500 0.500  0.18
Tc 0.000 0.000 0.000  0.29

**Fermi-level density of states**: 1.341 states/eV per atom
**Total DFT energy (no corrections)**: -5.5737 eV/atom
**Space group**: No. 123
**Energy above the lowest structure with this stoichiometry**: 0.000 eV/atom
**Size of the total moment**: 0.6 μB/f.u.